A plane-wave DFT calculation with GGA-PBE was carried out for crystalline Hg3Rh at its relaxed geometry.

## Properties
* magnetic moment: 0.0 Bohr magnetons per cell
* E_form: 0.167 eV per atom
* D(E_F): 0.139 states/eV per atom

```
4
Lattice="5.286 0.000 0.000 0.000 5.286 0.000 0.000 0.000 5.286" Properties=species:S:1:pos:R:3 pbc="T T T"
Hg 0.000 0.000 2.643
Hg 0.000 2.643 0.000
Hg 2.643 0.000 0.000
Rh 0.000 0.000 0.000
```